Material: LuScRh2
Method: DFT, GGA-PBE
State: relaxed

Results
M_tot = 0.00 μB/cell
calculated formation energy = -1.007 eV/atom

Unit cell a=4.655 b=4.655 c=4.655 alpha=60.00 beta=60.00 gamma=60.00
Sites, in units of the cell vectors:
Sc 0.000 0.000 0.000
Lu 0.500 0.500 0.500
Rh 0.250 0.250 0.250
Rh 0.750 0.750 0.750